Entry 1:
Sm3Dy8 | PBE-GGA | relaxed

Formation enthalpy at 0 K ... 0.56 eV per atom
Total magnetization ... 0.00 μB/f.u.
Relative energy among the computed polymorphs ... 0.543 eV/atom

Lattice parameters (Å, degrees): 7.128 7.128 7.128 86.08 86.08 86.08
Atoms (fractional coordinates):
Sm: 0.000 0.500 0.500
Sm: 0.500 0.000 0.500
Sm: 0.500 0.500 0.000
Dy: 0.112 0.855 0.697
Dy: 0.145 0.303 0.888
Dy: 0.303 0.888 0.145
Dy: 0.376 0.376 0.376
Dy: 0.624 0.624 0.624
Dy: 0.697 0.112 0.855
Dy: 0.855 0.697 0.112
Dy: 0.888 0.145 0.303

=====

Entry 2:
Sm3Dy | PBE-GGA | relaxed

Formation enthalpy at 0 K ... 0.01 eV per atom
Total magnetization ... 0.00 μB/f.u.
Relative energy among the computed polymorphs ... 0.000 eV/atom

Lattice parameters (Å, degrees): 6.255 6.255 6.255 131.95 131.95 70.31
Atoms (fractional coordinates):
Sm: 0.000 0.000 0.000
Sm: 0.250 0.750 0.500
Sm: 0.750 0.250 0.500
Dy: 0.500 0.500 0.000

=====

Entry 3:
Sm8Dy3 | PBE-GGA | relaxed

Formation enthalpy at 0 K ... 0.37 eV per atom
Total magnetization ... 0.00 μB/f.u.
Relative energy among the computed polymorphs ... 0.000 eV/atom

Lattice parameters (Å, degrees): 7.574 7.574 7.574 105.46 105.46 105.46
Atoms (fractional coordinates):
Sm: 0.183 0.677 0.571
Sm: 0.232 0.232 0.232
Sm: 0.323 0.429 0.817
Sm: 0.429 0.817 0.323
Sm: 0.571 0.183 0.677
Sm: 0.677 0.571 0.183
Sm: 0.768 0.768 0.768
Sm: 0.817 0.323 0.429
Dy: 0.000 0.000 0.500
Dy: 0.000 0.500 0.000
Dy: 0.500 0.000 0.000

=====

Entry 4:
Sm5Dy7 | PBE-GGA | relaxed

Formation enthalpy at 0 K ... 0.00 eV per atom
Total magnetization ... 0.00 μB/f.u.
Relative energy among the computed polymorphs ... 0.000 eV/atom

Lattice parameters (Å, degrees): 9.492 9.492 13.155 117.62 117.62 21.81
Atoms (fractional coordinates):
Sm: 0.000 0.000 0.000
Sm: 0.166 0.166 0.499
Sm: 0.305 0.305 0.249
Sm: 0.695 0.695 0.751
Sm: 0.834 0.834 0.501
Dy: 0.028 0.028 0.750
Dy: 0.334 0.334 0.002
Dy: 0.362 0.362 0.751
Dy: 0.500 0.500 0.500
Dy: 0.638 0.638 0.249
Dy: 0.666 0.666 0.998
Dy: 0.972 0.972 0.250

=====

Entry 5:
SmDy2 | PBE-GGA | relaxed

Formation enthalpy at 0 K ... 0.28 eV per atom
Total magnetization ... 0.59 μB/f.u.
Relative energy among the computed polymorphs ... 0.265 eV/atom

Lattice parameters (Å, degrees): 6.603 6.603 6.603 60.00 60.00 60.00
Atoms (fractional coordinates):
Sm: 0.125 0.125 0.125
Sm: 0.875 0.875 0.875
Dy: 0.000 0.500 0.500
Dy: 0.500 0.000 0.500
Dy: 0.500 0.500 0.000
Dy: 0.500 0.500 0.500

=====

Entry 6:
Sm2Dy | PBE-GGA | relaxed

Formation enthalpy at 0 K ... 0.26 eV per atom
Total magnetization ... 0.00 μB/f.u.
Relative energy among the computed polymorphs ... 0.245 eV/atom

Lattice parameters (Å, degrees): 6.629 6.629 6.629 60.00 60.00 60.00
Atoms (fractional coordinates):
Sm: 0.000 0.000 0.000
Sm: 0.000 0.000 0.500
Sm: 0.000 0.500 0.000
Sm: 0.500 0.000 0.000
Dy: 0.375 0.375 0.375
Dy: 0.625 0.625 0.625

=====

Entry 7:
Sm4Dy | PBE-GGA | relaxed

Formation enthalpy at 0 K ... 0.01 eV per atom
Total magnetization ... 0.00 μB/f.u.
Relative energy among the computed polymorphs ... 0.000 eV/atom

Lattice parameters (Å, degrees): 3.610 3.610 14.854 96.90 96.90 59.99
Atoms (fractional coordinates):
Sm: 0.101 0.101 0.302
Sm: 0.300 0.300 0.899
Sm: 0.700 0.700 0.101
Sm: 0.899 0.899 0.698
Dy: 0.500 0.500 0.500

=====

Entry 8:
Sm5Dy2 | PBE-GGA | relaxed

Formation enthalpy at 0 K ... 0.14 eV per atom
Total magnetization ... 0.05 μB/f.u.
Relative energy among the computed polymorphs ... 0.128 eV/atom

Lattice parameters (Å, degrees): 8.803 8.803 8.803 38.09 38.09 38.09
Atoms (fractional coordinates):
Sm: 0.000 0.000 0.000
Sm: 0.292 0.292 0.292
Sm: 0.431 0.431 0.431
Sm: 0.569 0.569 0.569
Sm: 0.708 0.708 0.708
Dy: 0.151 0.151 0.151
Dy: 0.849 0.849 0.849

=====

Entry 9:
Sm2Dy | PBE-GGA | relaxed

Formation enthalpy at 0 K ... 0.11 eV per atom
Total magnetization ... 0.00 μB/f.u.
Relative energy among the computed polymorphs ... 0.097 eV/atom

Lattice parameters (Å, degrees): 6.326 6.326 6.045 90.07 90.07 55.31
Atoms (fractional coordinates):
Sm: 0.084 0.084 0.275
Sm: 0.256 0.256 0.795
Sm: 0.744 0.744 0.205
Sm: 0.916 0.916 0.725
Dy: 0.408 0.408 0.283
Dy: 0.592 0.592 0.717

=====

Entry 10:
SmDy7 | PBE-GGA | relaxed

Formation enthalpy at 0 K ... 0.02 eV per atom
Total magnetization ... 0.00 μB/f.u.

Lattice parameters (Å, degrees): 7.094 7.094 7.094 60.00 60.00 60.00
Atoms (fractional coordinates):
Sm: 0.000 0.000 0.000
Dy: 0.000 0.000 0.500
Dy: 0.000 0.500 0.000
Dy: 0.000 0.500 0.500
Dy: 0.500 0.000 0.000
Dy: 0.500 0.000 0.500
Dy: 0.500 0.500 0.000
Dy: 0.500 0.500 0.500

=====

Entry 11:
Sm3Dy | PBE-GGA | relaxed

Formation enthalpy at 0 K ... 0.14 eV per atom
Total magnetization ... 0.00 μB/f.u.
Relative energy among the computed polymorphs ... 0.129 eV/atom

Lattice parameters (Å, degrees): 5.741 5.741 5.741 60.00 60.00 60.00
Atoms (fractional coordinates):
Sm: 0.000 0.000 0.000
Sm: 0.250 0.250 0.250
Sm: 0.750 0.750 0.750
Dy: 0.500 0.500 0.500

=====

Entry 12:
SmDy2 | PBE-GGA | relaxed

Formation enthalpy at 0 K ... 0.02 eV per atom
Total magnetization ... 0.00 μB/f.u.
Relative energy among the computed polymorphs ... 0.000 eV/atom

Lattice parameters (Å, degrees): 6.187 6.187 7.142 106.80 106.80 48.05
Atoms (fractional coordinates):
Sm: 0.167 0.167 0.084
Sm: 0.833 0.833 0.916
Dy: 0.166 0.166 0.583
Dy: 0.499 0.499 0.748
Dy: 0.501 0.501 0.252
Dy: 0.834 0.834 0.417

=====

Entry 13:
SmDy4 | PBE-GGA | relaxed

Formation enthalpy at 0 K ... 0.02 eV per atom
Total magnetization ... 0.00 μB/f.u.
Relative energy among the computed polymorphs ... 0.000 eV/atom

Lattice parameters (Å, degrees): 3.558 3.558 14.622 96.90 96.90 60.02
Atoms (fractional coordinates):
Sm: 0.000 0.000 0.000
Dy: 0.200 0.200 0.599
Dy: 0.400 0.400 0.202
Dy: 0.600 0.600 0.798
Dy: 0.800 0.800 0.401

=====

Entry 14:
Sm3Dy8 | PBE-GGA | relaxed

Formation enthalpy at 0 K ... 0.02 eV per atom
Total magnetization ... 0.00 μB/f.u.
Relative energy among the computed polymorphs ... 0.000 eV/atom

Lattice parameters (Å, degrees): 31.990 31.990 31.990 6.39 6.39 6.39
Atoms (fractional coordinates):
Sm: 0.000 0.000 0.000
Sm: 0.272 0.272 0.272
Sm: 0.728 0.728 0.728
Dy: 0.092 0.092 0.092
Dy: 0.182 0.182 0.182
Dy: 0.364 0.364 0.364
Dy: 0.455 0.455 0.455
Dy: 0.545 0.545 0.545
Dy: 0.636 0.636 0.636
Dy: 0.818 0.818 0.818
Dy: 0.908 0.908 0.908

=====

Entry 15:
Sm3Dy13 | PBE-GGA | relaxed

Formation enthalpy at 0 K ... 0.01 eV per atom
Total magnetization ... 0.00 μB/f.u.

Lattice parameters (Å, degrees): 10.046 7.118 7.118 89.91 90.00 90.00
Atoms (fractional coordinates):
Sm: 0.000 0.000 0.000
Sm: 0.251 0.251 0.251
Sm: 0.749 0.251 0.251
Dy: 0.000 0.000 0.502
Dy: 0.000 0.502 0.000
Dy: 0.000 0.502 0.502
Dy: 0.251 0.251 0.750
Dy: 0.251 0.750 0.251
Dy: 0.251 0.750 0.750
Dy: 0.500 0.000 0.000
Dy: 0.500 0.000 0.502
Dy: 0.500 0.502 0.000
Dy: 0.500 0.502 0.502
Dy: 0.749 0.251 0.750
Dy: 0.749 0.750 0.251
Dy: 0.749 0.750 0.750

=====

Entry 16:
Sm3Dy2Sn2 | PBE-GGA | relaxed

Formation enthalpy at 0 K ... -0.29 eV per atom
Total magnetization ... 0.39 μB/f.u.

Lattice parameters (Å, degrees): 8.859 8.859 7.823 114.81 114.81 22.85
Atoms (fractional coordinates):
Sm: 0.000 0.000 0.000
Sm: 0.221 0.221 0.208
Sm: 0.779 0.779 0.792
Dy: 0.088 0.088 0.699
Dy: 0.912 0.912 0.301
Sn: 0.396 0.396 0.620
Sn: 0.604 0.604 0.380

=====

Entry 17:
SmDySn2 | PBE-GGA | relaxed

Formation enthalpy at 0 K ... -0.64 eV per atom
Total magnetization ... 0.00 μB/f.u.

Lattice parameters (Å, degrees): 4.900 4.900 4.493 90.00 90.00 90.00
Atoms (fractional coordinates):
Sm: 0.000 0.000 0.000
Dy: 0.500 0.500 0.000
Sn: 0.000 0.500 0.500
Sn: 0.500 0.000 0.500

=====

Entry 18:
SmDySn | PBE-GGA | relaxed

Formation enthalpy at 0 K ... -0.39 eV per atom
Total magnetization ... 0.00 μB/f.u.
Relative energy among the computed polymorphs ... 0.216 eV/atom

Lattice parameters (Å, degrees): 6.364 6.364 9.122 110.41 110.41 31.78
Atoms (fractional coordinates):
Sm: 0.168 0.168 0.146
Sm: 0.832 0.832 0.854
Dy: 0.380 0.380 0.530
Dy: 0.620 0.620 0.470
Sn: 0.089 0.089 0.774
Sn: 0.911 0.911 0.226

=====

Entry 19:
Sm2DySn3 | PBE-GGA | relaxed

Formation enthalpy at 0 K ... -0.53 eV per atom
Total magnetization ... 0.00 μB/f.u.

Lattice parameters (Å, degrees): 7.608 7.608 7.608 145.32 131.16 61.29
Atoms (fractional coordinates):
Sm: 0.169 0.169 0.000
Sm: 0.831 0.831 0.000
Dy: 0.500 0.500 0.000
Sn: 0.000 0.500 0.500
Sn: 0.337 0.837 0.500
Sn: 0.663 0.163 0.500

=====

Entry 20:
SmDySn2 | PBE-GGA | relaxed

Formation enthalpy at 0 K ... -0.65 eV per atom
Total magnetization ... 0.00 μB/f.u.

Lattice parameters (Å, degrees): 3.491 3.491 8.898 90.00 90.00 90.00
Atoms (fractional coordinates):
Sm: 0.000 0.000 0.000
Dy: 0.000 0.000 0.500
Sn: 0.500 0.500 0.255
Sn: 0.500 0.500 0.745